! GGA-PBE Ba2FeBr, relaxed; values from VASP
! Magnetization ... 1.742 Bohr magnetons per cell
! DFT total energy ... -3.81 eV per atom
! Symmetry ... No. 166
! N(E_F) ... 2.210 states/eV/atom
! Formation energy from raw total energies ... -0.313 eV/atom
&SYSTEM
  ibrav = 0, nat = 4, ntyp = 3
/
ATOMIC_SPECIES
Ba 137.33 Ba.upf
Fe 55.84 Fe.upf
Br 79.90 Br.upf
CELL_PARAMETERS angstrom
2.2352 1.2905 8.7422
-2.2352 1.2905 8.7422
0.0000 -2.5810 8.7422
ATOMIC_POSITIONS crystal
Ba 0.2423 0.2423 0.2423
Ba 0.7577 0.7577 0.7577
Fe 0.5000 0.5000 0.5000
Br 0.0000 0.0000 0.0000